1.
Density functional theory data (PBE) for crystalline BaBi4Pt4 at its relaxed geometry.

Calculated values
ΔE_f, eV per atom: -0.360
Magnetization, μB per formula unit: 0.0
Calculated volume, Å³/cell: 497.03

Lattice parameters (Å, degrees): 9.6146 9.6146 5.3768 90.00 90.00 90.00
Space group P4_2/n (No. 86, origin choice 2)
Asymmetric unit:
Ba 0.2500 0.2500 0.2500
Bi 0.1137 0.8851 0.6492
Pt 0.0276 0.8845 0.1461

---

2.
Density functional theory data (PBE) for crystalline ZrCdCl4 at its relaxed geometry.

Calculated values
Magnetization, μB per formula unit: 0.0
Calculated volume, Å³/cell: 549.94
E_form (uncorrected), eV per formula unit: 1.6

Lattice parameters (Å, degrees): 8.1929 8.1929 8.1929 90.00 90.00 90.00
Space group F-43m (No. 216)
Asymmetric unit:
Zr 0.0000 0.0000 0.0000
Cd 0.2500 0.2500 0.7500
Cl 0.1256 0.1256 0.3744

---

3.
Density functional theory data (PBE) for crystalline SrSnN2 at its relaxed geometry.

Calculated values
Magnetization, μB per formula unit: 0.0
Calculated volume, Å³/cell: 137.03
E_form (uncorrected), eV per formula unit: -1.0

Lattice parameters (Å, degrees): 4.0168 4.0168 8.4931 90.00 90.00 90.00
Space group P4/nmm (No. 129, origin choice 2)
Asymmetric unit:
Sr 0.2500 0.2500 0.1383
Sn 0.2500 0.2500 0.6068
N 0.2500 0.2500 0.8480
N 0.2500 0.7500 0.5000